Below is a PBEsol-optimized structure of KHg2Pd2, with properties calculated at the meta-GGA SCAN level.

Polymorph energy (0 for the lowest one) (meV/atom): 0
Energy of formation (eV/atom): -0.1980

abc: 2.9518 8.2530 8.2530
angles: 90.00 90.00 90.00
With the nearest neighbours (Å) after each atom.
Element x y z (fractional)
1 K 0.0000 0.0000 0.0000  2 K 2.95, 4 Hg 3.19
2 K 0.0000 0.5000 0.5000  2 K 2.95, 4 Hg 3.19
3 Hg 0.0000 0.3599 0.8599  6 Pd 2.80-2.86, 2 Hg 2.95
4 Hg 0.0000 0.8599 0.6401  6 Pd 2.80-2.86, 2 Hg 2.95
5 Hg 0.0000 0.6401 0.1401  6 Pd 2.80-2.86, 2 Hg 2.95
6 Hg 0.0000 0.1401 0.3599  6 Pd 2.80-2.86, 2 Hg 2.95
7 Pd 0.5000 0.1556 0.6556  6 Hg 2.80-2.86, 2 Pd 2.95
8 Pd 0.5000 0.6556 0.8444  6 Hg 2.80-2.86, 2 Pd 2.95
9 Pd 0.5000 0.8444 0.3444  6 Hg 2.80-2.86, 2 Pd 2.95
10 Pd 0.5000 0.3444 0.1556  6 Hg 2.80-2.86, 2 Pd 2.95

Below is a PBEsol-optimized structure of LiNb3Bi4O14, with properties calculated at the meta-GGA SCAN level.

Raw formation energy (meV/atom): -2061

abc: 7.5983 7.5983 12.0651
angles: 79.97 79.97 60.68
With the nearest neighbours (Å) after each atom.
Element x y z (fractional)
1 Li 0.4675 0.5325 0.2500  4 O 1.96-2.06
2 Li 0.5325 0.4675 0.7500  4 O 1.96-2.06
3 Nb 0.3750 0.1260 0.2604  5 O 1.91-2.07
4 Nb 0.8740 0.6250 0.2396  5 O 1.91-2.07
5 Nb 0.1352 0.8648 0.7500  6 O 1.95-2.05
6 Nb 0.1260 0.3750 0.7604  5 O 1.91-2.07
7 Nb 0.6250 0.8740 0.7396  5 O 1.91-2.07
8 Nb 0.8648 0.1352 0.2500  6 O 1.95-2.05
9 Bi 0.5074 0.7274 0.4939  3 O 2.22-2.40
10 Bi 0.2568 0.9753 0.0274  4 O 2.25-2.42
11 Bi 0.7432 0.0247 0.9726  4 O 2.25-2.42
12 Bi 0.2726 0.4926 0.0061  3 O 2.22-2.40
13 Bi 0.9753 0.2568 0.5274  4 O 2.25-2.42
14 Bi 0.4926 0.2726 0.5061  3 O 2.22-2.40
15 Bi 0.0247 0.7432 0.4726  4 O 2.25-2.42
16 Bi 0.7274 0.5074 0.9939  3 O 2.22-2.40
17 O 0.8533 0.1371 0.4172  1 Nb 2.01
18 O 0.4224 0.6154 0.0899  1 Li 1.96
19 O 0.1371 0.8533 0.9172  1 Nb 2.01
20 O 0.7276 0.8525 0.5824  1 Nb 1.92
21 O 0.5533 0.8538 0.9132  1 Nb 2.07, 1 Bi 2.27
22 O 0.3846 0.5776 0.4101  1 Li 1.96
23 O 0.1490 0.0732 0.2306  2 Nb 1.95-2.05
24 O 0.1467 0.8629 0.5828  1 Nb 2.01
25 O 0.8525 0.7276 0.0824  1 Nb 1.92
26 O 0.9268 0.8510 0.2694  2 Nb 1.95-2.05
27 O 0.4467 0.1462 0.0868  1 Nb 2.07, 1 Bi 2.27
28 O 0.0732 0.1490 0.7306  2 Nb 1.95-2.05
29 O 0.5776 0.3846 0.9101  1 Li 1.96
30 O 0.4399 0.7737 0.7165  2 Nb 1.97-2.05, 1 Li 2.06
31 O 0.1462 0.4467 0.5868  1 Nb 2.07, 1 Bi 2.27
32 O 0.8538 0.5533 0.4132  1 Nb 2.07, 1 Bi 2.27
33 O 0.7737 0.4399 0.2165  2 Nb 1.97-2.05, 1 Li 2.06
34 O 0.5601 0.2263 0.2835  2 Nb 1.97-2.05, 1 Li 2.06
35 O 0.4367 0.1558 0.7162  1 Nb 1.91
36 O 0.5633 0.8442 0.2838  1 Nb 1.91
37 O 0.2263 0.5601 0.7835  2 Nb 1.97-2.05, 1 Li 2.06
38 O 0.1558 0.4367 0.2162  1 Nb 1.91
39 O 0.2724 0.1475 0.4176  1 Nb 1.92
40 O 0.6154 0.4224 0.5899  1 Li 1.96
41 O 0.8629 0.1467 0.0828  1 Nb 2.01
42 O 0.8442 0.5633 0.7838  1 Nb 1.91
43 O 0.1475 0.2724 0.9176  1 Nb 1.92
44 O 0.8510 0.9268 0.7694  2 Nb 1.95-2.05

Below is a PBEsol-optimized structure of Ba6In2NF, with properties calculated at the meta-GGA SCAN level.

Raw formation energy (meV/atom): -1052

abc: 7.8097 7.8097 7.8097
angles: 60.00 60.00 60.00
With the nearest neighbours (Å) after each atom.
Element x y z (fractional)
1 Ba 0.2425 0.7575 0.7575  1 N 2.68, 1 F 2.84
2 Ba 0.7575 0.2425 0.7575  1 N 2.68, 1 F 2.84
3 Ba 0.2425 0.7575 0.2425  1 N 2.68, 1 F 2.84
4 Ba 0.2425 0.2425 0.7575  1 N 2.68, 1 F 2.84
5 Ba 0.7575 0.7575 0.2425  1 N 2.68, 1 F 2.84
6 Ba 0.7575 0.2425 0.2425  1 N 2.68, 1 F 2.84
7 In 0.2500 0.2500 0.2500  12 Ba 3.91
8 In 0.7500 0.7500 0.7500  12 Ba 3.91
9 N 0.0000 0.0000 0.0000  6 Ba 2.68
10 F 0.5000 0.5000 0.5000  6 Ba 2.84

Below is a PBEsol-optimized structure of CaCo2Ni, with properties calculated at the meta-GGA SCAN level.

Energy of formation (eV/atom): 0.6808

abc: 2.6901 2.6901 8.6344
angles: 81.04 81.04 60.00
With the nearest neighbours (Å) after each atom.
Element x y z (fractional)
1 Ni 0.4903 0.4903 0.5291  3 Co 2.45, 6 Ni 2.69
2 Ca 0.2495 0.2495 0.2514  6 Ca 2.69, 3 Ni 2.82, 3 Co 2.87
3 Co 0.0110 0.0110 0.9669  3 Co 2.39
4 Co 0.7492 0.7492 0.7525  3 Co 2.39, 3 Ni 2.45

Below is a PBEsol-optimized structure of Y2SbW, with properties calculated at the meta-GGA SCAN level.

Raw formation energy (meV/atom): 221

abc: 4.9456 4.9456 4.9456
angles: 60.00 60.00 60.00
With the nearest neighbours (Å) after each atom.
Element x y z (fractional)
1 Sb 0.5000 0.5000 0.5000  4 W 3.03, 4 Y 3.03
2 W 0.2500 0.2500 0.2500  4 Y 3.03, 4 Sb 3.03
3 Y 0.0000 0.0000 0.0000  4 Y 3.03, 4 W 3.03
4 Y 0.7500 0.7500 0.7500  4 Sb 3.03, 4 Y 3.03

Below is a PBEsol-optimized structure of Sc2ReRu, with properties calculated at the meta-GGA SCAN level.

Energy of formation (eV/atom): 0.1951

abc: 2.9159 2.9159 9.5273
angles: 81.20 81.20 60.00
With the nearest neighbours (Å) after each atom.
Element x y z (fractional)
1 Re 0.5069 0.5069 0.4793  3 Ru 2.62, 3 Sc 2.85, 6 Re 2.92
2 Ru 0.2449 0.2449 0.2652  3 Re 2.62, 3 Sc 2.77, 6 Ru 2.92
3 Sc 0.9897 0.9897 0.0310  3 Ru 2.77, 6 Sc 2.92
4 Sc 0.7585 0.7585 0.7245  3 Re 2.85, 6 Sc 2.92